# 1
First-principles (GGA-PBE) data for a relaxed structure of LiCuBiPd, as listed in the Open Quantum Materials Database.

Cell lengths 4.614, 4.614, 4.614 Å; angles 60.00, 60.00, 60.00 degrees
Fractional positions:
Pd  0.250  0.250  0.250
Cu  0.750  0.750  0.750
Bi  0.000  0.000  0.000
Li  0.500  0.500  0.500

Properties
The relative energy among the computed polymorphs comes out at 0 meV per atom. Its crystal system is cubic.



# 2
First-principles (GGA-PBE) data for a relaxed structure of Li4CuBiPd2, as listed in the Open Quantum Materials Database.

Cell lengths 4.426, 4.426, 6.270 Å; angles 90.00, 90.00, 90.00 degrees
Fractional positions:
Pd  0.500  0.000  0.725
Li  0.000  0.000  0.500
Pd  0.000  0.500  0.275
Cu  0.500  0.500  0.500
Bi  0.000  0.000  0.000
Li  0.500  0.000  0.285
Li  0.500  0.500  0.000
Li  0.000  0.500  0.715

Properties
Its uncorrected energy is -3.59 eV per atom. Its crystal system is tetragonal.



# 3
First-principles (GGA-PBE) data for a relaxed structure of LiCuBiPd, as listed in the Open Quantum Materials Database.

Cell lengths 4.548, 4.548, 4.548 Å; angles 60.00, 60.00, 60.00 degrees
Fractional positions:
Bi  0.000  0.000  0.000
Li  0.250  0.250  0.250
Cu  0.750  0.750  0.750
Pd  0.500  0.500  0.500

Properties
The relative energy among the computed polymorphs comes out at 28 meV per atom. Its crystal system is cubic.



# 4
First-principles (GGA-PBE) data for a relaxed structure of LiCuReBi, as listed in the Open Quantum Materials Database.

Cell lengths 4.535, 4.535, 4.535 Å; angles 60.00, 60.00, 60.00 degrees
Fractional positions:
Cu  0.750  0.750  0.750
Li  0.500  0.500  0.500
Bi  0.000  0.000  0.000
Re  0.250  0.250  0.250

Properties
The relative energy among the computed polymorphs comes out at 0 meV per atom. The calculation puts the total magnetic moment at 0.0 μB per cell. Its crystal system is cubic.



# 5
First-principles (GGA-PBE) data for a relaxed structure of LiCuReBi, as listed in the Open Quantum Materials Database.

Cell lengths 4.495, 4.495, 4.495 Å; angles 60.00, 60.00, 60.00 degrees
Fractional positions:
Li  0.750  0.750  0.750
Bi  0.000  0.000  0.000
Cu  0.250  0.250  0.250
Re  0.500  0.500  0.500

Properties
The relative energy among the computed polymorphs comes out at 81 meV per atom. The calculation puts the total magnetic moment at 0.0 μB per cell. Its crystal system is cubic.



# 6
First-principles (GGA-PBE) data for a relaxed structure of Li4Cu2BiSb, as listed in the Open Quantum Materials Database.

Cell lengths 4.511, 4.511, 6.399 Å; angles 90.00, 90.00, 90.00 degrees
Fractional positions:
Li  0.500  0.000  0.256
Sb  0.500  0.500  0.500
Cu  0.000  0.500  0.263
Bi  0.000  0.000  0.000
Li  0.000  0.000  0.500
Li  0.500  0.500  0.000
Li  0.000  0.500  0.744
Cu  0.500  0.000  0.737

Properties
Its uncorrected energy is -3.26 eV per atom. Its crystal system is tetragonal.



# 7
First-principles (GGA-PBE) data for a relaxed structure of LiScCuBi, as listed in the Open Quantum Materials Database.

Cell lengths 4.719, 4.719, 4.719 Å; angles 60.00, 60.00, 60.00 degrees
Fractional positions:
Li  0.250  0.250  0.250
Cu  0.750  0.750  0.750
Sc  0.500  0.500  0.500
Bi  0.000  0.000  0.000

Properties
The relative energy among the computed polymorphs comes out at 158 meV per atom. The calculation puts the total magnetic moment at 0.0 μB per cell. Its crystal system is cubic.



# 8
First-principles (GGA-PBE) data for a relaxed structure of LiScCuBi, as listed in the Open Quantum Materials Database.

Cell lengths 4.773, 4.773, 4.773 Å; angles 60.00, 60.00, 60.00 degrees
Fractional positions:
Li  0.750  0.750  0.750
Bi  0.000  0.000  0.000
Sc  0.250  0.250  0.250
Cu  0.500  0.500  0.500

Properties
The relative energy among the computed polymorphs comes out at 0 meV per atom. The calculation puts the total magnetic moment at 0.0 μB per cell. Its crystal system is cubic.



# 9
First-principles (GGA-PBE) data for a relaxed structure of LiTaCuBi, as listed in the Open Quantum Materials Database.

Cell lengths 4.702, 4.702, 4.702 Å; angles 60.00, 60.00, 60.00 degrees
Fractional positions:
Ta  0.250  0.250  0.250
Li  0.500  0.500  0.500
Bi  0.000  0.000  0.000
Cu  0.750  0.750  0.750

Properties
The relative energy among the computed polymorphs comes out at 52 meV per atom. The calculation puts the total magnetic moment at 0.3 μB per cell. Its crystal system is cubic.



# 10
First-principles (GGA-PBE) data for a relaxed structure of LiTaCuBi, as listed in the Open Quantum Materials Database.

Cell lengths 4.665, 4.665, 4.665 Å; angles 60.00, 60.00, 60.00 degrees
Fractional positions:
Bi  0.000  0.000  0.000
Cu  0.750  0.750  0.750
Ta  0.500  0.500  0.500
Li  0.250  0.250  0.250

Properties
The relative energy among the computed polymorphs comes out at 0 meV per atom. The calculation puts the total magnetic moment at 1.1 μB per cell. Its crystal system is cubic.



# 11
First-principles (GGA-PBE) data for a relaxed structure of LiCuBiW, as listed in the Open Quantum Materials Database.

Cell lengths 4.609, 4.609, 4.609 Å; angles 60.00, 60.00, 60.00 degrees
Fractional positions:
Li  0.500  0.500  0.500
W  0.250  0.250  0.250
Bi  0.000  0.000  0.000
Cu  0.750  0.750  0.750

Properties
The relative energy among the computed polymorphs comes out at 0 meV per atom. The calculation puts the total magnetic moment at 0.2 μB per cell. Its crystal system is cubic.



# 12
First-principles (GGA-PBE) data for a relaxed structure of LiCuBiW, as listed in the Open Quantum Materials Database.

Cell lengths 4.585, 4.585, 4.585 Å; angles 60.00, 60.00, 60.00 degrees
Fractional positions:
Bi  0.000  0.000  0.000
Cu  0.750  0.750  0.750
Li  0.250  0.250  0.250
W  0.500  0.500  0.500

Properties
The relative energy among the computed polymorphs comes out at 10 meV per atom. The calculation puts the total magnetic moment at 1.6 μB per cell. Its crystal system is cubic.



# 13
First-principles (GGA-PBE) data for a relaxed structure of LiZrCuBi, as listed in the Open Quantum Materials Database.

Cell lengths 4.812, 4.812, 4.812 Å; angles 60.00, 60.00, 60.00 degrees
Fractional positions:
Bi  0.000  0.000  0.000
Cu  0.750  0.750  0.750
Li  0.500  0.500  0.500
Zr  0.250  0.250  0.250

Properties
The relative energy among the computed polymorphs comes out at 251 meV per atom. The calculation puts the total magnetic moment at 0.6 μB per cell. Its crystal system is cubic.



# 14
First-principles (GGA-PBE) data for a relaxed structure of LiZrCuBi, as listed in the Open Quantum Materials Database.

Cell lengths 4.727, 4.727, 4.727 Å; angles 60.00, 60.00, 60.00 degrees
Fractional positions:
Zr  0.500  0.500  0.500
Li  0.750  0.750  0.750
Bi  0.000  0.000  0.000
Cu  0.250  0.250  0.250

Properties
The relative energy among the computed polymorphs comes out at 146 meV per atom. The calculation puts the total magnetic moment at 0.1 μB per cell. Its crystal system is cubic.



# 15
First-principles (GGA-PBE) data for a relaxed structure of LiZrCuBi, as listed in the Open Quantum Materials Database.

Cell lengths 4.807, 4.807, 4.807 Å; angles 60.00, 60.00, 60.00 degrees
Fractional positions:
Bi  0.000  0.000  0.000
Li  0.750  0.750  0.750
Cu  0.500  0.500  0.500
Zr  0.250  0.250  0.250

Properties
The relative energy among the computed polymorphs comes out at 0 meV per atom. The calculation puts the total magnetic moment at 0.0 μB per cell. Its crystal system is cubic.



# 16
First-principles (GGA-PBE) data for a relaxed structure of Lu2CuBi, as listed in the Open Quantum Materials Database.

Cell lengths 5.192, 5.192, 5.192 Å; angles 60.00, 60.00, 60.00 degrees
Fractional positions:
Cu  0.250  0.250  0.250
Bi  0.500  0.500  0.500
Lu  0.000  0.000  0.000
Lu  0.750  0.750  0.750

Properties
Its uncorrected energy is -4.05 eV per atom. The calculation puts the total magnetic moment at 0.0 μB per cell. Its crystal system is cubic.



# 17
First-principles (GGA-PBE) data for a relaxed structure of LuCuBi2, as listed in the Open Quantum Materials Database.

Cell lengths 4.431, 4.431, 4.431 Å; angles 60.00, 60.00, 60.00 degrees
Fractional positions:
Bi  0.750  0.750  0.750
Bi  0.000  0.000  0.000
Lu  0.250  0.250  0.250
Cu  0.500  0.500  0.500

Properties
Its uncorrected energy is -1.98 eV per atom. The calculation puts the total magnetic moment at 0.0 μB per cell. Its crystal system is cubic.



# 18
First-principles (GGA-PBE) data for a relaxed structure of LuCu2Bi, as listed in the Open Quantum Materials Database.

Cell lengths 4.829, 4.829, 4.829 Å; angles 60.00, 60.00, 60.00 degrees
Fractional positions:
Cu  0.000  0.000  0.000
Cu  0.750  0.750  0.750
Bi  0.500  0.500  0.500
Lu  0.250  0.250  0.250

Properties
Its uncorrected energy is -4.01 eV per atom. The calculation puts the total magnetic moment at 0.0 μB per cell. Its crystal system is cubic.



# 19
First-principles (GGA-PBE) data for a relaxed structure of LuCu2Bi, as listed in the Open Quantum Materials Database.

Cell lengths 4.834, 4.834, 4.834 Å; angles 60.00, 60.00, 60.00 degrees
Fractional positions:
Lu  0.750  0.750  0.750
Bi  0.000  0.000  0.000
Cu  0.250  0.250  0.250
Cu  0.500  0.500  0.500

Properties
Its uncorrected energy is -4.01 eV per atom. The calculation puts the total magnetic moment at 0.0 μB per cell. Its crystal system is cubic.



# 20
First-principles (GGA-PBE) data for a relaxed structure of LuCuBi2, as listed in the Open Quantum Materials Database.

Cell lengths 5.263, 5.263, 5.263 Å; angles 60.00, 60.00, 60.00 degrees
Fractional positions:
Cu  0.250  0.250  0.250
Bi  0.750  0.750  0.750
Lu  0.500  0.500  0.500
Bi  0.000  0.000  0.000

Properties
Its uncorrected energy is -4.02 eV per atom. The calculation puts the total magnetic moment at 0.0 μB per cell. Its crystal system is cubic.